Computed, not measured: LaNi2Os after structural relaxation at the PBE-GGA level of DFT.

Its formation energy is 32 kJ/mol of atoms.

The space group is Fm-3m (No. 225) and the conventional cell measures 6.4385, 6.4385 and 6.4385 Å, with angles of 90.00, 90.00 and 90.00 degrees. The asymmetric unit holds La at (0.0000, 0.0000, 0.0000), Ni at (0.2500, 0.2500, 0.2500) and Os at (0.0000, 0.0000, 0.5000).